(1)
Compound: Zr2SnIr
Source: Alexandria
Functional: PBE
Structure: optimized geometry

Its formation energy from the elements is -0.603 eV/atom. The calculation puts the density of states at the Fermi level at 0.75 states/eV/atom.

Cell and atoms, written as POSCAR:
```
Zr2SnIr
1.0
-1.188 -2.663 1.058
0.347 -1.271 -2.809
7.645 -2.573 2.110
Zr Ir Sn
2 1 1
Cartesian
1.681 -0.566 0.464 Zr
5.964 -2.007 1.646 Zr
-0.420 -1.967 -0.875 Ir
3.402 -3.253 0.179 Sn
```


(2)
Compound: La2Tb7Pm2
Source: Alexandria
Functional: PBE
Structure: optimized geometry

Its formation energy from the elements is 0.144 eV/atom. The calculation puts the density of states at the Fermi level at 1.66 states/eV/atom.

Cell and atoms, written as POSCAR:
```
La2Tb7Pm2
1.0
-5.757 -1.623 5.560
-9.836 -3.162 -2.014
5.382 -3.816 4.813
Tb La Pm
7 2 2
Cartesian
-6.705 -3.454 1.122 Tb
-4.918 -1.581 -1.007 Tb
-3.506 -5.146 7.237 Tb
-2.665 -2.604 5.157 Tb
-7.546 -5.996 3.202 Tb
-3.311 -2.317 1.841 Tb
-6.900 -6.284 6.518 Tb
-3.766 -5.517 3.590 La
-6.446 -3.084 4.769 La
-0.267 -3.868 7.377 Pm
-0.108 -1.571 2.996 Pm
```